Record 1
The following is a DFT calculation (GGA-PBE) of a geometry-optimized Rb3AgCl5 structure.

Results
DOS at the Fermi energy   19.61 states/eV/cell
Total DFT energy (no corrections)   -54.50 eV/cell
Calculated volume   302.8 Å³/f.u.
Total magnetic moment   1.12 μB per formula unit

Lattice parameters (Å, degrees): 8.873 8.873 9.927 116.55 116.55 90.00
Last column: magnetic moment on the atom in μB.
Fractional coordinates of all 18 atoms:
Rb 0.660 0.160 0.000  0.00
Rb 0.340 0.840 0.000  0.00
Rb 0.840 0.660 0.000  0.00
Rb 0.160 0.340 0.000  0.00
Rb 0.250 0.250 0.500  0.00
Rb 0.750 0.750 0.500  0.00
Ag 0.750 0.250 0.500  0.31
Ag 0.250 0.750 0.500  0.31
Cl 0.005 0.505 0.715  0.12
Cl 0.710 0.210 0.715  0.12
Cl 0.210 0.005 0.715  0.12
Cl 0.505 0.710 0.715  0.12
Cl 0.995 0.495 0.285  0.12
Cl 0.290 0.790 0.285  0.12
Cl 0.790 0.995 0.285  0.12
Cl 0.495 0.290 0.285  0.12
Cl 0.500 0.500 0.000  0.12
Cl 0.000 0.000 0.000  0.12

***

Record 2
The following is a DFT calculation (GGA-PBE) of a geometry-optimized Li2SiAs structure.

Results
DOS at the Fermi energy   1.70 states/eV/cell
Energy relative to the lowest polymorph listed for this composition   340 meV/atom
Total DFT energy (no corrections)   -13.72 eV/cell
Calculated volume   70.5 Å³/f.u.
Total magnetic moment   0.00 μB per formula unit

Lattice parameters (Å, degrees): 2.642 2.642 10.109 90.00 90.00 89.10
Fractional coordinates of all 4 atoms:
As 0.500 0.500 0.799
Li 0.000 0.000 0.998
Li 0.500 0.500 0.252
Si 0.000 0.000 0.450

***

Record 3
The following is a DFT calculation (GGA-PBE) of a geometry-optimized CoPt2Br structure.

Results
DOS at the Fermi energy   5.89 states/eV/cell
Energy relative to the lowest polymorph listed for this composition   193 meV/atom
Total DFT energy (no corrections)   -18.92 eV/cell
Calculated volume   66.6 Å³/f.u.
Total magnetic moment   2.39 μB per formula unit

Lattice parameters (Å, degrees): 5.462 5.462 4.399 81.59 81.59 30.87
Last column: magnetic moment on the atom in μB.
Fractional coordinates of all 4 atoms:
Br 0.750 0.750 0.750  0.10
Co 0.250 0.250 0.250  1.94
Pt 0.960 0.960 0.022  0.18
Pt 0.540 0.540 0.478  0.18

***

Record 4
The following is a DFT calculation (GGA-PBE) of a geometry-optimized TmLu2Mg structure.

Results
DOS at the Fermi energy   4.57 states/eV/cell
Energy relative to the lowest polymorph listed for this composition   88 meV/atom
Total DFT energy (no corrections)   -14.83 eV/cell
Calculated volume   111.8 Å³/f.u.
Total magnetic moment   0.02 μB per formula unit

Lattice parameters (Å, degrees): 5.407 5.407 5.407 60.00 60.00 60.00
Fractional coordinates of all 4 atoms:
Mg 0.500 0.500 0.500
Lu 0.250 0.250 0.250
Lu 0.750 0.750 0.750
Tm 0.000 0.000 0.000

***

DOS at the Fermi energy of number 4 (TmLu2Mg)? 4.57 states/eV/cell

***

Look up the calculated volume of the second one. 70.5 Å³/f.u.

***

Which of these has the highest DOS at the Fermi energy? Rb3AgCl5

***

Which of these has the highest DOS at the Fermi energy? Rb3AgCl5